*i*
A plane-wave DFT calculation with GGA-PBE was carried out for an optimized crystal structure of Tm2Te2O.

Computed properties:
The symmetry is C2/m, No. 12.

Lattice parameters (Å, degrees): 7.0052 7.0052 11.2272 122.80 122.80 32.40
Fractional coordinates of all 10 atoms:
Tm  0.0345  0.0345  0.1753
Tm  0.1869  0.1869  0.5695
Tm  0.8131  0.8131  0.4305
Tm  0.9655  0.9655  0.8247
Te  0.3363  0.3363  0.9090
Te  0.4724  0.4724  0.3309
Te  0.5276  0.5276  0.6691
Te  0.6637  0.6637  0.0910
O  0.2139  0.2139  0.3891
O  0.7861  0.7861  0.6109

*ii*
A plane-wave DFT calculation with GGA-PBE was carried out for an optimized crystal structure of Tm2Te2O.

Computed properties:
The symmetry is Ibam, No. 72.

Lattice parameters (Å, degrees): 7.4075 7.4075 7.4075 121.59 77.88 133.32
Fractional coordinates of all 10 atoms:
Tm  0.0901  0.1910  0.2811
Tm  0.4099  0.6910  0.1009
Tm  0.5901  0.3090  0.8991
Tm  0.9099  0.8090  0.7189
Te  0.1465  0.6372  0.7837
Te  0.3535  0.1372  0.4907
Te  0.6465  0.8628  0.5093
Te  0.8535  0.3628  0.2163
O  0.2500  0.2500  0.0000
O  0.7500  0.7500  0.0000

Which structure is the least stable? The one labeled *ii*.

*i*
A plane-wave DFT calculation with GGA-PBE was carried out for an optimized crystal structure of TmTeO4.

Computed properties:
The symmetry is Pc, No. 7.

Lattice parameters (Å, degrees): 5.3865 4.9258 12.7120 90.00 90.25 90.00
Fractional coordinates of all 24 atoms:
Tm  0.0000  0.2467  0.0000
Tm  0.0000  0.7533  0.5000
Tm  0.5005  0.2494  0.6619
Tm  0.5005  0.7506  0.1619
Te  0.0031  0.2524  0.2542
Te  0.0031  0.7476  0.7542
Te  0.5000  0.2534  0.4049
Te  0.5000  0.7466  0.9049
O  0.1630  0.4680  0.1421
O  0.1630  0.5320  0.6421
O  0.2169  0.4914  0.3961
O  0.2169  0.5086  0.8961
O  0.3377  0.0435  0.5143
O  0.3377  0.9565  0.0143
O  0.3411  0.0283  0.2870
O  0.3411  0.9717  0.7870
O  0.6429  0.4754  0.2880
O  0.6429  0.5246  0.7880
O  0.6659  0.4571  0.5155
O  0.6659  0.5429  0.0155
O  0.7787  0.0099  0.3931
O  0.7787  0.9901  0.8931
O  0.8461  0.0257  0.1440
O  0.8461  0.9743  0.6440

*ii*
A plane-wave DFT calculation with GGA-PBE was carried out for an optimized crystal structure of TmTeO4.

Computed properties:
The symmetry is Pnc2, No. 30.

Lattice parameters (Å, degrees): 5.4454 5.0981 5.8742 90.00 90.00 90.00
Fractional coordinates of all 12 atoms:
Tm  0.0000  0.0000  0.0000
Tm  0.0000  0.5000  0.5000
Te  0.5000  0.0000  0.3473
Te  0.5000  0.5000  0.8473
O  0.1867  0.2017  0.2995
O  0.1867  0.2983  0.7995
O  0.3435  0.7396  0.5955
O  0.3435  0.7604  0.0955
O  0.6565  0.2396  0.0955
O  0.6565  0.2604  0.5955
O  0.8133  0.7017  0.7995
O  0.8133  0.7983  0.2995

Which structure is the least stable? The one labeled *ii*.

*i*
A plane-wave DFT calculation with GGA-PBE was carried out for an optimized crystal structure of UTeO.

Computed properties:
The symmetry is P4/nmm, No. 129.

Lattice parameters (Å, degrees): 3.8879 3.8879 8.7153 90.00 90.00 90.00
Fractional coordinates of all 6 atoms:
U  0.2500  0.2500  0.1453
U  0.7500  0.7500  0.8547
Te  0.2500  0.2500  0.6632
Te  0.7500  0.7500  0.3368
O  0.2500  0.7500  0.0000
O  0.7500  0.2500  0.0000

*ii*
A plane-wave DFT calculation with GGA-PBE was carried out for an optimized crystal structure of UTeO.

Computed properties:
The symmetry is P-6m2, No. 187.

Lattice parameters (Å, degrees): 3.8882 3.8882 4.7143 90.00 90.00 120.00
Fractional coordinates of all 3 atoms:
U  0.0000  0.0000  0.0000
Te  0.6667  0.3333  0.5000
O  0.3333  0.6667  0.0000

Which structure is the least stable? The one labeled *ii*.

*i*
A plane-wave DFT calculation with GGA-PBE was carried out for an optimized crystal structure of UTeO5.

Computed properties:
The symmetry is Pbcm, No. 57.

Lattice parameters (Å, degrees): 5.5355 10.4173 7.8445 90.00 90.00 90.00
Fractional coordinates of all 28 atoms:
U  0.0324  0.0155  0.2500
U  0.0324  0.4845  0.7500
U  0.9676  0.5155  0.2500
U  0.9676  0.9845  0.7500
Te  0.3588  0.2500  0.0000
Te  0.3588  0.2500  0.5000
Te  0.6412  0.7500  0.0000
Te  0.6412  0.7500  0.5000
O  0.1443  0.1048  0.5270
O  0.1443  0.1048  0.9730
O  0.1443  0.3952  0.0270
O  0.1443  0.3952  0.4730
O  0.2370  0.6143  0.2500
O  0.2370  0.8857  0.7500
O  0.2668  0.2076  0.2500
O  0.2668  0.2924  0.7500
O  0.3031  0.5850  0.7500
O  0.3031  0.9150  0.2500
O  0.6969  0.0850  0.7500
O  0.6969  0.4150  0.2500
O  0.7332  0.7076  0.2500
O  0.7332  0.7924  0.7500
O  0.7630  0.1143  0.2500
O  0.7630  0.3857  0.7500
O  0.8557  0.6048  0.5270
O  0.8557  0.6048  0.9730
O  0.8557  0.8952  0.0270
O  0.8557  0.8952  0.4730

*ii*
A plane-wave DFT calculation with GGA-PBE was carried out for an optimized crystal structure of UTeO5.

Computed properties:
The symmetry is P-1, No. 2.

Lattice parameters (Å, degrees): 5.8621 5.9106 8.1936 71.26 70.37 75.45
Fractional coordinates of all 14 atoms:
U  0.0000  0.0000  0.0000
U  0.0000  0.0000  0.5000
Te  0.4918  0.5523  0.2322
Te  0.5082  0.4477  0.7678
O  0.0768  0.9318  0.7689
O  0.1997  0.2353  0.3947
O  0.2676  0.2331  0.8906
O  0.2916  0.6958  0.0715
O  0.3108  0.7208  0.4099
O  0.6892  0.2792  0.5901
O  0.7084  0.3042  0.9285
O  0.7324  0.7669  0.1094
O  0.8003  0.7647  0.6053
O  0.9232  0.0682  0.2311

Which structure is the least stable? The one labeled *i*.